# 1
Below is a geometry-optimized Ca2CdHg4Pb structure, with properties calculated at the GGA-PBE level.

Lattice parameters (Å, degrees): 5.2561 5.2561 9.1432 73.30 73.30 60.00
Last column: nearest neighbours and their distance in Å.
Fractional positions:
Ca: 0.7499 0.7499 0.7504  8 Hg 3.14-3.37
Ca: 0.2501 0.2501 0.2496  8 Hg 3.14-3.37
Cd: 0.5000 0.5000 0.5000  8 Hg 3.10-3.19
Hg: 0.3802 0.3802 0.8593  1 Cd 3.10, 4 Ca 3.18-3.37, 3 Pb 3.27
Hg: 0.8710 0.8710 0.3869  4 Ca 3.14-3.26, 3 Cd 3.19, 1 Pb 3.34
Hg: 0.1290 0.1290 0.6131  4 Ca 3.14-3.26, 3 Cd 3.19, 1 Pb 3.34
Hg: 0.6198 0.6198 0.1407  1 Cd 3.10, 4 Ca 3.18-3.37, 3 Pb 3.27
Pb: 0.0000 0.0000 0.0000  8 Hg 3.27-3.34

Computed properties:
Its spin magnetization is 0.000 μB per atom. Its space group is No. 166. The value obtained for the calculated formation energy is -0.36 eV/atom. Its density is 9.67 g cm⁻³.

# 2
Below is a geometry-optimized Ho2TiCd structure, with properties calculated at the GGA-PBE level.

Lattice parameters (Å, degrees): 3.2612 3.2612 11.4647 81.82 81.82 60.00
Last column: nearest neighbours and their distance in Å.
Fractional positions:
Ti: 0.0000 0.0000 0.0000  2 Ho 2.94, 6 Ti 3.26
Ho: 0.0868 0.0868 0.7396  1 Ti 2.94, 6 Ho 3.26
Ho: 0.9132 0.9132 0.2604  1 Ti 2.94, 6 Ho 3.26
Cd: 0.5000 0.5000 0.5000  6 Cd 3.26, 6 Ho 3.30

Computed properties:
Its spin magnetization is 0.521 μB per atom. Its space group is No. 166. The value obtained for the calculated formation energy is 0.36 eV/atom. Its density is 7.81 g cm⁻³.

# 3
Below is a geometry-optimized Pr4NpS5 structure, with properties calculated at the GGA-PBE level.

Lattice parameters (Å, degrees): 4.0695 4.0695 14.6927 97.96 97.96 90.00
Last column: nearest neighbours and their distance in Å.
Fractional positions:
Pr: 0.4003 0.4003 0.8007  6 S 2.87-2.92
Pr: 0.8027 0.8027 0.6053  6 S 2.88-2.93
Pr: 0.1973 0.1973 0.3947  6 S 2.88-2.93
Pr: 0.5997 0.5997 0.1993  6 S 2.87-2.92
Np: 0.0000 0.0000 0.0000  6 S 2.79-2.88
S: 0.0969 0.0969 0.1939  1 Np 2.79, 5 Pr 2.88-2.89
S: 0.5000 0.5000 0.0000  2 Pr 2.87, 4 Np 2.88
S: 0.9031 0.9031 0.8061  1 Np 2.79, 5 Pr 2.88-2.89
S: 0.2990 0.2990 0.5980  6 Pr 2.88-2.93
S: 0.7010 0.7010 0.4020  6 Pr 2.88-2.93

Computed properties:
Its spin magnetization is 0.444 μB per atom. Its space group is No. 139. Its density is 6.69 g cm⁻³. The uncorrected formation energy is -1879 meV per atom.

# 4
Below is a geometry-optimized VAsRhAu2 structure, with properties calculated at the GGA-PBE level.

Lattice parameters (Å, degrees): 4.8084 4.5587 4.8084 90.00 90.00 90.00
Last column: nearest neighbours and their distance in Å.
Fractional positions:
Rh: 0.0000 0.5000 0.0000  2 As 2.28
As: 0.0000 0.0000 0.0000  2 Rh 2.28, 4 Au 2.40
Au: 0.0000 0.0000 0.5000  2 As 2.40
Au: 0.5000 0.0000 0.0000  2 As 2.40
V: 0.5000 0.5000 0.5000  8 Au 3.31, 4 Rh 3.40

Computed properties:
Its spin magnetization is 0.036 μB per atom. Its space group is No. 123. The value obtained for the calculated formation energy is 0.89 eV/atom. Its density is 9.81 g cm⁻³.

# 5
Below is a geometry-optimized SrCaZnPt structure, with properties calculated at the GGA-PBE level.

Lattice parameters (Å, degrees): 4.3937 4.3499 6.0466 90.00 111.30 90.00
Last column: nearest neighbours and their distance in Å.
Fractional positions:
Sr: 0.1472 0.0000 0.2943  3 Pt 3.23-3.26, 4 Zn 3.26
Ca: 0.8626 0.5000 0.7252  3 Zn 3.10-3.45, 4 Pt 3.19
Zn: 0.5566 0.5000 0.1133  2 Pt 2.58
Pt: 0.4336 0.0000 0.8672  2 Zn 2.58

Computed properties:
Its spin magnetization is 0.000 μB per atom. Its space group is No. 38. The value obtained for the calculated formation energy is -0.62 eV/atom. Its density is 5.99 g cm⁻³.

# 6
Below is a geometry-optimized SrAsOs structure, with properties calculated at the GGA-PBE level.

Lattice parameters (Å, degrees): 4.1722 4.1722 4.7752 90.00 90.00 120.00
Last column: nearest neighbours and their distance in Å.
Fractional positions:
Sr: 0.6667 0.3333 0.6667  6 Os 3.39, 6 As 3.39
As: 0.0000 0.0000 0.1666  3 Os 2.41
Os: 0.3333 0.6667 0.1668  3 As 2.41

Computed properties:
Its spin magnetization is 0.000 μB per atom. Its space group is No. 187. The value obtained for the calculated formation energy is -0.21 eV/atom. Its density is 8.14 g cm⁻³.

# 7
Below is a geometry-optimized MgCu2PH structure, with properties calculated at the GGA-PBE level.

Lattice parameters (Å, degrees): 4.8891 4.6435 4.8891 90.00 90.00 90.00
Last column: nearest neighbours and their distance in Å.
Fractional positions:
P: 0.0000 0.5000 0.0000  2 Mg 2.32
Mg: 0.0000 0.0000 0.0000  2 P 2.32, 4 Cu 2.44
Cu: 0.0000 0.0000 0.5000  2 Mg 2.44
Cu: 0.5000 0.0000 0.0000  2 Mg 2.44
H: 0.5000 0.5000 0.5000  8 Cu 3.37, 4 P 3.46

Computed properties:
Its spin magnetization is 0.172 μB per atom. Its space group is No. 123. The value obtained for the raw total energy is -2.2977 eV/atom. Its density is 2.74 g cm⁻³.

# 8
Below is a geometry-optimized BaCuP structure, with properties calculated at the GGA-PBE level.

Lattice parameters (Å, degrees): 6.2875 4.2045 7.3614 90.00 125.87 109.53
Last column: nearest neighbours and their distance in Å.
Fractional positions:
P: 0.1105 0.6244 0.7510  1 P 2.38, 2 Cu 2.41
P: 0.1109 0.6243 0.0745  1 P 2.38, 2 Cu 2.41
Ba: 0.6017 0.8696 0.6583  6 Cu 3.35-3.37, 6 P 3.37-3.38
Ba: 0.6198 0.3787 0.1671  6 Cu 3.34-3.37, 6 P 3.37-3.38
Cu: 0.1107 0.1249 0.5911  2 P 2.41, 1 Cu 2.62
Cu: 0.1110 0.1248 0.2349  2 P 2.41, 1 Cu 2.62

Computed properties:
Its spin magnetization is 0.000 μB per atom. Its space group is No. 71. The value obtained for the calculated formation energy is -0.59 eV/atom. Its density is 5.36 g cm⁻³.

# 9
Below is a geometry-optimized CeZnH6Os structure, with properties calculated at the GGA-PBE level.

Lattice parameters (Å, degrees): 4.6161 4.6161 4.4609 90.00 90.00 60.00
Last column: nearest neighbours and their distance in Å.
Fractional positions:
Ce: 0.0000 0.0000 0.0000  12 H 2.52
Zn: 0.6666 0.6667 0.5000  6 H 1.89
H: 0.0277 0.4859 0.2250  1 Os 1.73, 1 Zn 1.89
H: 0.4859 0.0277 0.7750  1 Os 1.73, 1 Zn 1.89
H: 0.4863 0.4859 0.7749  1 Os 1.73, 1 Zn 1.89
H: 0.0277 0.4863 0.7750  1 Os 1.73, 1 Zn 1.89
H: 0.4859 0.4863 0.2250  1 Os 1.73, 1 Zn 1.89
H: 0.4863 0.0277 0.2250  1 Os 1.73, 1 Zn 1.89
Os: 0.3333 0.3333 0.5000  6 H 1.73

Computed properties:
Its spin magnetization is 0.088 μB per atom. Its space group is No. 187. The value obtained for the raw total energy is -4.4931 eV/atom. Its density is 8.11 g cm⁻³.

# 10
Below is a geometry-optimized Al3FePd structure, with properties calculated at the GGA-PBE level.

Lattice parameters (Å, degrees): 4.4144 4.4144 4.4144 90.00 90.00 90.00
Last column: nearest neighbours and their distance in Å.
Fractional positions:
Fe: 0.0000 0.0000 0.0000  6 Al 2.21
Pd: 0.5000 0.5000 0.5000  12 Al 3.12
Al: 0.0000 0.5000 0.0000  2 Fe 2.21
Al: 0.0000 0.0000 0.5000  2 Fe 2.21
Al: 0.5000 0.0000 0.0000  2 Fe 2.21

Computed properties:
Its spin magnetization is 0.000 μB per atom. Its space group is No. 221. The value obtained for the calculated formation energy is 0.06 eV/atom. Its density is 4.69 g cm⁻³.

# 11
Below is a geometry-optimized ScTl2Cl structure, with properties calculated at the GGA-PBE level.

Lattice parameters (Å, degrees): 6.5569 6.5569 5.5761 64.79 64.79 29.39
Last column: nearest neighbours and their distance in Å.
Fractional positions:
Cl: 0.5557 0.5557 0.4443  2 Sc 2.52
Sc: 0.2220 0.2220 0.2780  2 Cl 2.52
Tl: 0.9645 0.9645 0.0354  2 Sc 3.22, 2 Tl 3.33, 4 Cl 3.41
Tl: 0.7579 0.7579 0.7422  4 Sc 3.27, 4 Tl 3.33-3.65, 2 Cl 3.61-3.62

Computed properties:
Its spin magnetization is 0.000 μB per atom. Its space group is No. 44. Its density is 7.69 g cm⁻³. The uncorrected formation energy is -573 meV per atom.

# 12
Below is a geometry-optimized NaTiSb2 structure, with properties calculated at the GGA-PBE level.

Lattice parameters (Å, degrees): 5.8519 5.8519 9.5062 72.07 72.07 90.00
Last column: nearest neighbours and their distance in Å.
Fractional positions:
Sb: 0.7734 0.1250 0.2500  2 Ti 2.66
Sb: 0.9766 0.6250 0.2500  2 Ti 2.66
Sb: 0.3750 0.2266 0.7500  2 Ti 2.66
Sb: 0.8750 0.0234 0.7500  2 Ti 2.66
Na: 0.5000 0.5000 0.0000  4 Sb 3.49
Na: 0.2500 0.7500 0.5000  4 Sb 3.49
Ti: 0.0000 0.0000 0.0000  4 Sb 2.66
Ti: 0.7500 0.2500 0.5000  4 Sb 2.66

Computed properties:
Its spin magnetization is 0.249 μB per atom. Its space group is No. 122. Its density is 3.56 g cm⁻³. The uncorrected formation energy is 34 meV per atom.

# 13
Below is a geometry-optimized BaCrPdCl2 structure, with properties calculated at the GGA-PBE level.

Lattice parameters (Å, degrees): 5.0693 5.8062 5.0693 90.00 90.00 90.00
Last column: nearest neighbours and their distance in Å.
Fractional positions:
Cr: 0.5000 0.5000 0.5000  4 Ba 3.58, 8 Cl 3.85
Ba: 0.0000 0.5000 0.0000  2 Pd 2.90
Pd: 0.0000 0.0000 0.0000  4 Cl 2.53
Cl: 0.0000 0.0000 0.5000  2 Pd 2.53
Cl: 0.5000 0.0000 0.0000  2 Pd 2.53

Computed properties:
Its spin magnetization is 1.101 μB per atom. Its space group is No. 123. Its density is 4.08 g cm⁻³. The uncorrected formation energy is -95 meV per atom.

# 14
Below is a geometry-optimized Cd2RhAu structure, with properties calculated at the GGA-PBE level.

Lattice parameters (Å, degrees): 5.3756 5.3756 4.8228 70.58 70.58 33.98
Last column: nearest neighbours and their distance in Å.
Fractional positions:
Rh: 0.4930 0.4930 0.4432  7 Cd 2.82-2.93, 2 Au 2.86, 2 Rh 3.14
Au: 0.7628 0.7628 0.7968  2 Rh 2.86, 7 Cd 2.86-2.91, 2 Au 3.14
Cd: 0.0092 0.0092 0.9440  4 Rh 2.83-2.93, 3 Au 2.86-2.91, 3 Cd 3.11-3.14
Cd: 0.2350 0.2350 0.3160  3 Rh 2.82-2.92, 4 Au 2.88-2.90, 3 Cd 3.11-3.14

Computed properties:
Its spin magnetization is 0.000 μB per atom. Its space group is No. 8. The value obtained for the calculated formation energy is -0.10 eV/atom. Its density is 11.93 g cm⁻³.

# 15
Below is a geometry-optimized CdNi2Sb structure, with properties calculated at the GGA-PBE level.

Lattice parameters (Å, degrees): 7.0442 7.0442 5.7511 52.24 52.24 90.00
Last column: nearest neighbours and their distance in Å.
Fractional positions:
Sb: 0.0000 0.0000 0.0000  4 Ni 2.50
Sb: 0.7500 0.2500 0.5000  4 Ni 2.50
Ni: 0.6439 0.1250 0.2500  2 Sb 2.50, 2 Cd 2.68
Ni: 0.1061 0.6250 0.2500  2 Sb 2.50, 2 Cd 2.68
Ni: 0.3750 0.3561 0.7500  2 Sb 2.50, 2 Cd 2.68
Ni: 0.8750 0.8939 0.7500  2 Sb 2.50, 2 Cd 2.68
Cd: 0.5000 0.5000 0.0000  4 Ni 2.68, 2 Sb 2.87
Cd: 0.2500 0.7500 0.5000  4 Ni 2.68, 2 Sb 2.87

Computed properties:
Its spin magnetization is 0.000 μB per atom. Its space group is No. 122. Its density is 8.18 g cm⁻³. The uncorrected formation energy is 282 meV per atom.

# 16
Below is a geometry-optimized La2Tb2PmNd2 structure, with properties calculated at the GGA-PBE level.

Lattice parameters (Å, degrees): 5.1774 6.3414 8.2114 97.33 90.00 114.09
Last column: nearest neighbours and their distance in Å.
Fractional positions:
La: 0.1423 0.2846 0.4267  5 Tb 3.65-3.68, 1 Pm 3.66, 3 La 3.66-3.68, 3 Nd 3.67-3.70
La: 0.8577 0.7154 0.5733  5 Tb 3.65-3.68, 1 Pm 3.66, 3 La 3.66-3.68, 3 Nd 3.67-3.70
Tb: 0.5706 0.1412 0.7153  5 La 3.65-3.68, 2 Pm 3.66, 4 Nd 3.66-3.67, 1 Tb 3.68
Tb: 0.4294 0.8588 0.2847  5 La 3.65-3.68, 2 Pm 3.66, 4 Nd 3.66-3.67, 1 Tb 3.68
Pm: 0.0000 0.0000 0.0000  6 Nd 3.64-3.67, 4 Tb 3.66, 2 La 3.66
Nd: 0.7153 0.4307 0.1413  2 Nd 3.64, 3 Pm 3.64-3.67, 4 Tb 3.66-3.67, 3 La 3.67-3.70
Nd: 0.2847 0.5693 0.8587  2 Nd 3.64, 3 Pm 3.64-3.67, 4 Tb 3.66-3.67, 3 La 3.67-3.70

Computed properties:
Its spin magnetization is 0.000 μB per atom. Its space group is No. 12. The value obtained for the calculated formation energy is 0.02 eV/atom. Its density is 7.01 g cm⁻³.

# 17
Below is a geometry-optimized IrPtC3 structure, with properties calculated at the GGA-PBE level.

Lattice parameters (Å, degrees): 3.9799 3.9799 3.9799 90.00 90.00 90.00
Last column: nearest neighbours and their distance in Å.
Fractional positions:
C: 0.0000 0.5000 0.0000  2 Ir 1.99
C: 0.0000 0.0000 0.5000  2 Ir 1.99
C: 0.5000 0.0000 0.0000  2 Ir 1.99
Ir: 0.0000 0.0000 0.0000  6 C 1.99
Pt: 0.5000 0.5000 0.5000  12 C 2.81

Computed properties:
Its spin magnetization is 0.000 μB per atom. Its space group is No. 221. The value obtained for the calculated formation energy is 2.21 eV/atom. Its density is 11.15 g cm⁻³.

# 18
Below is a geometry-optimized RbLiErCl6 structure, with properties calculated at the GGA-PBE level.

Lattice parameters (Å, degrees): 6.7010 6.7011 7.5586 90.03 89.97 59.81
Last column: nearest neighbours and their distance in Å.
Fractional positions:
Rb: 0.9999 0.9999 0.9999  6 Cl 3.35
Li: 0.3339 0.3339 0.5002  6 Cl 2.59-2.60
Er: 0.6664 0.6664 0.5001  6 Cl 2.62
Cl: 0.0035 0.3679 0.2990  1 Li 2.60, 1 Er 2.62
Cl: 0.3677 0.0037 0.7009  1 Li 2.60, 1 Er 2.62
Cl: 0.6279 0.3694 0.7013  1 Li 2.59, 1 Er 2.62
Cl: 0.0021 0.6290 0.7010  1 Li 2.59, 1 Er 2.62
Cl: 0.3695 0.6278 0.2986  1 Li 2.60, 1 Er 2.62
Cl: 0.6289 0.0020 0.2990  1 Li 2.60, 1 Er 2.62

Computed properties:
Its spin magnetization is 0.130 μB per atom. Its space group is No. 5. Its density is 2.67 g cm⁻³. The uncorrected formation energy is -1760 meV per atom.

# 19
Below is a geometry-optimized LaSm4Dy2Mg structure, with properties calculated at the GGA-PBE level.

Lattice parameters (Å, degrees): 5.8766 9.5337 5.8685 52.01 90.00 90.00
Last column: nearest neighbours and their distance in Å.
Fractional positions:
La: 0.5000 0.5000 0.0000  8 Sm 3.47, 2 Dy 3.76
Sm: 0.0000 0.7465 0.7532  2 Mg 3.47, 2 La 3.47, 4 Dy 3.50, 2 Sm 3.70-3.81
Sm: 0.0000 0.2535 0.2468  2 Mg 3.47, 2 La 3.47, 4 Dy 3.50, 2 Sm 3.70-3.81
Sm: 0.5000 0.7462 0.2538  2 La 3.47, 2 Mg 3.47, 4 Dy 3.50, 2 Sm 3.70-3.81
Sm: 0.5000 0.2538 0.7462  2 La 3.47, 2 Mg 3.47, 4 Dy 3.50, 2 Sm 3.70-3.81
Dy: 0.0000 0.0000 0.0000  8 Sm 3.50, 2 Mg 3.76
Dy: 0.5000 0.0000 0.5000  8 Sm 3.50, 2 La 3.76
Mg: 0.0000 0.5000 0.5000  8 Sm 3.47, 2 Dy 3.76

Computed properties:
Its spin magnetization is 0.000 μB per atom. Its space group is No. 123. The value obtained for the calculated formation energy is 0.09 eV/atom. Its density is 6.98 g cm⁻³.

# 20
Below is a geometry-optimized AcTl2Hg5 structure, with properties calculated at the GGA-PBE level.

Lattice parameters (Å, degrees): 8.3464 8.3464 9.0202 117.56 117.56 90.00
Last column: nearest neighbours and their distance in Å.
Fractional positions:
Ac: 0.7500 0.7500 0.5000  10 Hg 3.41-3.42
Ac: 0.2500 0.2500 0.5000  10 Hg 3.41-3.42
Tl: 0.1566 0.3434 0.0000  8 Hg 3.15-3.36
Tl: 0.6566 0.1566 0.0000  8 Hg 3.15-3.36
Tl: 0.3434 0.8434 0.0000  8 Hg 3.15-3.36
Tl: 0.8434 0.6566 0.0000  8 Hg 3.15-3.36
Hg: 0.4763 0.6939 0.6702  3 Tl 3.28-3.36, 4 Hg 3.31-3.46, 2 Ac 3.42
Hg: 0.8061 0.0237 0.3298  3 Tl 3.28-3.36, 4 Hg 3.31-3.46, 2 Ac 3.42
Hg: 0.0000 0.0000 0.0000  4 Tl 3.15, 2 Ac 3.41
Hg: 0.5000 0.5000 0.0000  4 Tl 3.15, 2 Ac 3.41
Hg: 0.1939 0.9763 0.6702  3 Tl 3.28-3.36, 4 Hg 3.31-3.46, 2 Ac 3.42
Hg: 0.6939 0.1939 0.6702  3 Tl 3.28-3.36, 4 Hg 3.31-3.46, 2 Ac 3.42
Hg: 0.9763 0.4763 0.6702  3 Tl 3.28-3.36, 4 Hg 3.31-3.46, 2 Ac 3.42
Hg: 0.3061 0.8061 0.3298  3 Tl 3.28-3.36, 4 Hg 3.31-3.46, 2 Ac 3.42
Hg: 0.0237 0.5237 0.3298  3 Tl 3.28-3.36, 4 Hg 3.31-3.46, 2 Ac 3.42
Hg: 0.5237 0.3061 0.3298  3 Tl 3.28-3.36, 4 Hg 3.31-3.46, 2 Ac 3.42

Computed properties:
Its spin magnetization is 0.000 μB per atom. Its space group is No. 140. The value obtained for the calculated formation energy is -0.15 eV/atom. Its density is 11.45 g cm⁻³.